# 1
{"formula": "CoNiAg", "functional": "PBE", "state": "relaxed", "relative_energy_ev_per_atom": 0.420, "delta_e_f_mev_per_atom": 663, "n_ef_per_ev_atom": 0.4922, "magmom_total_mub_per_cell": 2.4, "lattice": [[0.000, 2.852, 2.852], [2.852, 0.000, 2.852], [2.852, 2.852, 0.000]], "species": ["Co", "Ni", "Ag"], "fractional_positions": [[0.000, 0.000, 0.000], [0.750, 0.750, 0.750], [0.500, 0.500, 0.500]]}



# 2
{"formula": "Lu2Ni12As7", "functional": "PBE", "state": "relaxed", "delta_e_f_mev_per_atom": -517, "n_ef_per_ev_atom": 0.6506, "magmom_total_mub_per_cell": 0.0, "lattice": [[9.349, 0.000, 0.000], [-4.675, 8.097, 0.000], [0.000, 0.000, 3.808]], "species": ["Lu", "Lu", "Ni", "Ni", "Ni", "Ni", "Ni", "Ni", "Ni", "Ni", "Ni", "Ni", "Ni", "Ni", "As", "As", "As", "As", "As", "As", "As"], "fractional_positions": [[0.000, 0.000, 0.000], [0.333, 0.667, 0.500], [0.044, 0.760, 0.500], [0.107, 0.391, 0.000], [0.240, 0.284, 0.500], [0.285, 0.893, 0.000], [0.385, 0.205, 0.000], [0.551, 0.123, 0.500], [0.572, 0.449, 0.500], [0.609, 0.715, 0.000], [0.716, 0.956, 0.500], [0.795, 0.181, 0.000], [0.819, 0.615, 0.000], [0.877, 0.428, 0.500], [0.072, 0.619, 0.000], [0.257, 0.035, 0.500], [0.381, 0.453, 0.000], [0.547, 0.928, 0.000], [0.667, 0.333, 0.000], [0.778, 0.743, 0.500], [0.965, 0.222, 0.500]]}



# 3
{"formula": "PrGaCuPt2", "functional": "PBE", "state": "relaxed", "delta_e_f_mev_per_atom": -755, "n_ef_per_ev_atom": 0.3966, "magmom_total_mub_per_cell": 0.0, "lattice": [[-2.012, 2.012, 5.957], [2.012, -2.012, 5.957], [2.012, 2.012, -5.957]], "species": ["Pr", "Ga", "Cu", "Pt", "Pt"], "fractional_positions": [[0.000, 0.000, 0.000], [0.750, 0.250, 0.500], [0.250, 0.750, 0.500], [0.386, 0.386, 0.000], [0.614, 0.614, 0.000]]}